BeGaGeS2: optimized geometry, GGA-PBE.

* energy relative to the elements, uncorrected: 906 meV/atom

Lattice parameters (Å, degrees): 4.6778 4.6778 4.9853 90.00 90.00 90.00
With the nearest neighbours (Å) after each atom.
Space group P4/mmm (No. 123)
Unique sites:
Be1 0.0000 0.0000 0.0000 x1  4 Ge 3.31, 8 S 3.42
Ga1 0.5000 0.5000 0.5000 x1  4 S 2.34, 2 Ge 2.49
Ge1 0.5000 0.5000 0.0000 x1  2 Ga 2.49
S1 0.0000 0.5000 0.5000 x2  2 Ga 2.34



CuReRu2: optimized geometry, GGA-PBE.

* formation energy from the elements: 40.5 kJ/mol of atoms
* offset from the most stable computed form: 1.17 eV per formula unit

Lattice parameters (Å, degrees): 5.3859 8.7955 2.6641 90.00 117.00 90.00
With the nearest neighbours (Å) after each atom.
Space group C2/m (No. 12)
Unique sites:
Cu1 0.0000 0.0000 0.0000 x2  4 Ru 2.61, 2 Cu 2.66, 4 Re 2.69-2.80
Re1 0.0000 0.5000 0.0000 x2  4 Ru 2.61, 2 Re 2.66, 4 Cu 2.69-2.80
Ru1 0.2500 0.2500 0.5000 x4  2 Re 2.61, 2 Cu 2.61, 6 Ru 2.66-2.80



PrNdSm4S8: optimized geometry, GGA-PBE.

* energy relative to the elements, uncorrected: -1912 meV/atom

Lattice parameters (Å, degrees): 8.2713 8.2713 20.3777 90.00 90.00 120.00
With the nearest neighbours (Å) after each atom.
Space group R3m (No. 160, hexagonal axes)
Unique sites:
Pr1 0.0000 0.0000 0.0000 x3  6 S 2.88-2.89
Nd1 0.0000 0.0000 0.6254 x3  4 S 2.71-2.73
Sm1 0.0000 0.0000 0.3742 x3  4 S 2.67-2.70
Sm2 0.1672 0.3344 0.8329 x9  6 S 2.82-2.84
S1 0.0000 0.0000 0.2419 x3  4 Sm 2.70-2.84
S2 0.0000 0.0000 0.7592 x3  1 Nd 2.73, 3 Sm 2.83
S3 0.0157 0.5079 0.7539 x9  3 Sm 2.67-2.83, 1 Pr 2.89
S4 0.1765 0.3530 0.5782 x9  1 Nd 2.71, 2 Sm 2.82, 1 Pr 2.88



Mg2ZnHg6: optimized geometry, GGA-PBE.

* formation energy from the elements: -2.9 kJ/mol of atoms

Lattice parameters (Å, degrees): 17.3560 3.3836 8.2402 90.00 118.05 90.00
With the nearest neighbours (Å) after each atom.
Space group C2/m (No. 12)
Unique sites:
Mg1 0.1607 0.0000 0.0021 x4  6 Hg 2.92-2.99, 2 Zn 3.26
Zn1 0.0000 0.5000 0.0000 x2  6 Hg 2.92-2.94, 4 Mg 3.26
Hg1 0.0421 0.5000 0.6955 x4  1 Hg 2.84, 1 Zn 2.92, 2 Mg 2.93
Hg2 0.1202 0.0000 0.3078 x4  1 Hg 2.86, 1 Mg 2.92, 2 Zn 2.94
Hg3 0.2108 0.0000 0.7010 x4  1 Hg 2.86, 3 Mg 2.95-2.99



K3PmPa3Te8: optimized geometry, GGA-PBE.

* energy relative to the elements, uncorrected: -1033 meV/atom

Lattice parameters (Å, degrees): 8.8294 8.8294 25.5256 90.00 90.00 120.00
With the nearest neighbours (Å) after each atom.
Space group R-3m (No. 166, hexagonal axes)
Unique sites:
K1 0.0000 0.5000 0.0000 x9  6 Te 3.52-3.55
Pm1 0.0000 0.0000 0.5000 x3  6 Te 3.18
Pa1 0.0000 0.5000 0.5000 x9  6 Te 3.11-3.14
Te1 0.0000 0.0000 0.2382 x6  3 Pa 3.14
Te2 0.0082 0.5041 0.7621 x18  2 Pa 3.11, 1 Pm 3.18



SrLi2Ru: optimized geometry, GGA-PBE.

* formation energy from the elements: 44.7 kJ/mol of atoms
* offset from the most stable computed form: 0.39 eV per formula unit

Lattice parameters (Å, degrees): 6.8618 6.8618 6.8618 90.00 90.00 90.00
With the nearest neighbours (Å) after each atom.
Space group F-43m (No. 216)
Unique sites:
Sr1 0.0000 0.0000 0.0000 x4  4 Li 2.97, 4 Ru 2.97
Li1 0.0000 0.0000 0.5000 x4  4 Li 2.97, 4 Ru 2.97
Li2 0.2500 0.2500 0.2500 x4  4 Li 2.97, 4 Sr 2.97
Ru1 0.2500 0.2500 0.7500 x4  4 Li 2.97, 4 Sr 2.97



BaZnN2O: optimized geometry, GGA-PBE.

* energy relative to the elements, uncorrected: 1410 meV/atom

Lattice parameters (Å, degrees): 5.6664 5.6664 4.6695 90.00 90.00 90.00
With the nearest neighbours (Å) after each atom.
Space group P4/mmm (No. 123)
Unique sites:
Ba1 0.0000 0.0000 0.0000 x1  2 O 2.33
Zn1 0.5000 0.5000 0.5000 x1  8 N 3.67, 4 O 4.01
N1 0.0000 0.5000 0.0000 x2  2 Ba 2.83
O1 0.0000 0.0000 0.5000 x1  2 Ba 2.33



Rb2CuHCl6: optimized geometry, GGA-PBE.

* offset from the most stable computed form: 0.00 eV per formula unit

Lattice parameters (Å, degrees): 8.5598 6.5020 11.7263 90.00 115.22 90.00
With the nearest neighbours (Å) after each atom.
Space group P2_1/c (No. 14)
Unique sites:
Rb1 0.2318 0.0129 0.2281 x4  8 Cl 3.41-3.61
Cu1 0.5000 0.0000 0.0000 x2  4 Cl 2.18
H1 0.0000 0.0000 0.5000 x2  2 Cl 1.57
Cl1 0.0872 0.1810 0.4598 x4  1 H 1.57
Cl2 0.3468 0.7371 0.0081 x4  1 Cu 2.18
Cl3 0.3772 0.5131 0.2946 x4  1 Cu 2.18



Sn3Pb5I12: optimized geometry, GGA-PBE.

* energy relative to the elements, uncorrected: -216 meV/atom

Lattice parameters (Å, degrees): 19.7907 19.7907 19.7907 90.00 90.00 90.00
With the nearest neighbours (Å) after each atom.
Space group Ia-3d (No. 230)
Unique sites:
Sn1 0.0000 0.2500 0.1250 x24  4 I 3.42
Pb1 0.0000 0.0000 0.0000 x16  6 I 3.29
Pb2 0.0000 0.2500 0.3750 x24  4 I 3.15
I1 0.0090 0.0554 0.6564 x96  2 Pb 3.15-3.29, 1 Sn 3.42



BiAsP2F: optimized geometry, GGA-PBE.

* energy relative to the elements, uncorrected: 551 meV/atom

Lattice parameters (Å, degrees): 4.5938 4.5938 4.7730 90.00 90.00 90.00
With the nearest neighbours (Å) after each atom.
Space group P4/mmm (No. 123)
Unique sites:
Bi1 0.0000 0.0000 0.0000 x1  2 F 2.39
As1 0.5000 0.5000 0.0000 x1  4 Bi 3.25, 8 P 3.31
P1 0.0000 0.5000 0.5000 x2  2 F 2.30
F1 0.0000 0.0000 0.5000 x1  4 P 2.30, 2 Bi 2.39



BaTm2: optimized geometry, GGA-PBE.

* formation energy from the elements: 34.3 kJ/mol of atoms

Lattice parameters (Å, degrees): 9.9931 9.9931 9.9931 90.00 90.00 90.00
With the nearest neighbours (Å) after each atom.
Space group Fd-3m (No. 227, origin choice 2)
Unique sites:
Ba1 0.1250 0.1250 0.1250 x8  12 Tm 4.14, 4 Ba 4.33
Tm1 0.0000 0.0000 0.5000 x16  6 Tm 3.53



PrCo4B4: optimized geometry, GGA-PBE.

* formation energy from the elements: -38.1 kJ/mol of atoms
* offset from the most stable computed form: 0.47 eV per formula unit

Lattice parameters (Å, degrees): 5.0702 5.0702 7.0984 90.00 90.00 90.00
With the nearest neighbours (Å) after each atom.
Space group P4_2/nmc (No. 137, origin choice 2)
Unique sites:
Pr1 0.2500 0.7500 0.2500 x2  12 Co 2.88-3.00, 12 B 2.92
Co1 0.0049 0.7500 0.6167 x8  5 B 2.08-2.14
B1 0.0764 0.2500 0.0888 x8  1 B 1.76